Record 1
{"formula": "MgSiNiPd", "functional": "GGA-PBE", "state": "relaxed", "cell": [[0.0000, 3.0030, 3.0030], [3.0030, 0.0000, 3.0030], [3.0030, 3.0030, 0.0000]], "species": ["Mg", "Si", "Ni", "Pd"], "fractional_positions": [[0.0000, 0.0000, 0.0000], [0.5000, 0.5000, 0.5000], [0.7500, 0.7500, 0.7500], [0.2500, 0.2500, 0.2500]], "magnetic_moment_mub_per_cell": 0.001, "de_polymorph_mev_per_atom": 0.0}

Record 2
{"formula": "LuTlCdFe", "functional": "GGA-PBE", "state": "relaxed", "cell": [[0.0000, 3.4647, 3.4647], [3.4647, 0.0000, 3.4647], [3.4647, 3.4647, 0.0000]], "species": ["Lu", "Tl", "Cd", "Fe"], "fractional_positions": [[0.0000, 0.0000, 0.0000], [0.2500, 0.2500, 0.2500], [0.7500, 0.7500, 0.7500], [0.5000, 0.5000, 0.5000]], "magnetic_moment_mub_per_cell": 2.570, "de_polymorph_mev_per_atom": 0.0}

What did the second record say?
{"formula": "LuTlCdFe", "functional": "GGA-PBE", "state": "relaxed", "cell": [[0.0000, 3.4647, 3.4647], [3.4647, 0.0000, 3.4647], [3.4647, 3.4647, 0.0000]], "species": ["Lu", "Tl", "Cd", "Fe"], "fractional_positions": [[0.0000, 0.0000, 0.0000], [0.2500, 0.2500, 0.2500], [0.7500, 0.7500, 0.7500], [0.5000, 0.5000, 0.5000]], "magnetic_moment_mub_per_cell": 2.570, "de_polymorph_mev_per_atom": 0.0}